# 1
A relaxed structure of La2PmFeN4. Source: Alexandria via LeMat-Bulk, functional GGA-PBE.

Calculated values
Electronic total energy = -7.931 eV/atom
Formation energy from raw total energies = -0.88 eV per atom

```
La2PmFeN4
1.0
3.504 0.000 0.000
-1.752 6.079 0.000
0.000 0.000 12.315
N La Pm Fe
8 4 2 2
Cartesian
1.752 2.749 7.874
1.752 2.749 10.599
0.000 0.000 6.158
1.752 1.322 3.079
0.000 4.757 9.236
0.000 0.000 0.000
0.000 3.330 1.717
0.000 3.330 4.441
1.752 1.605 0.529
1.752 1.605 5.628
0.000 4.474 11.786
0.000 4.474 6.687
1.752 4.491 3.079
0.000 1.588 9.236
0.000 1.995 3.079
1.752 4.084 9.236
```

***

# 2
A relaxed structure of Zr4ZnGe. Source: Alexandria via LeMat-Bulk, functional GGA-PBE.

Calculated values
Electronic total energy = -7.117 eV/atom
DFT formation energy = -0.436 eV/atom

```
Zr4ZnGe
1.0
5.406 0.000 0.000
0.000 6.707 0.000
0.000 0.000 6.707
Ge Zr Zn
2 8 2
Cartesian
4.055 0.000 0.000
1.352 0.000 0.000
2.703 5.685 4.387
2.703 2.319 5.685
2.703 4.387 1.022
0.000 2.319 1.022
0.000 4.387 5.685
0.000 1.022 4.387
2.703 1.022 2.319
0.000 5.685 2.319
4.055 3.353 3.353
1.352 3.353 3.353
```

***

# 3
A relaxed structure of NaNd5In4. Source: Alexandria via LeMat-Bulk, functional GGA-PBE.

Calculated values
Electronic total energy = -3.963 eV/atom
DFT formation energy = -0.352 eV/atom

```
NaNd5In4
1.0
3.751 0.000 0.000
0.000 3.751 0.000
0.000 0.000 21.444
In Nd Na
4 5 1
Cartesian
0.000 0.000 12.796
0.000 0.000 8.649
0.000 0.000 16.983
0.000 0.000 4.462
1.876 1.876 2.525
1.876 1.876 6.592
1.876 1.876 10.722
1.876 1.876 18.919
1.876 1.876 14.852
0.000 0.000 0.000
```

***

# 4
A relaxed structure of NaTl2Bi2. Source: Alexandria via LeMat-Bulk, functional GGA-PBE.

Calculated values
Offset from the most stable computed form = 0.107 eV per atom
Electronic total energy = -2.791 eV/atom
DFT formation energy = -0.028 eV/atom

```
NaTl2Bi2
1.0
-0.896 -3.494 3.323
-2.914 -2.300 -3.204
3.934 -6.787 -2.457
Na Tl Bi
1 2 2
Cartesian
0.000 0.000 0.000
0.567 -6.589 0.463
-0.442 -5.992 -2.801
-0.709 -3.694 -0.456
0.833 -8.888 -1.882
```

***

# 5
A relaxed structure of Tb4Y3Tm3. Source: Alexandria via LeMat-Bulk, functional GGA-PBE.

Calculated values
Electronic total energy = -5.033 eV/atom
DFT formation energy = 0.099 eV/atom

```
Tb4Y3Tm3
1.0
3.740 0.000 0.000
0.000 9.219 -0.042
0.000 0.039 9.219
Tm Y Tb
3 3 4
Cartesian
0.000 0.026 4.620
0.000 4.637 9.191
1.870 1.600 7.644
1.870 6.203 6.155
1.870 3.048 3.028
1.870 7.657 1.533
0.000 5.808 3.398
0.000 1.201 1.163
0.000 3.433 5.794
0.000 8.084 7.986
```

***

# 6
A relaxed structure of TiV5Ru2. Source: Alexandria via LeMat-Bulk, functional GGA-PBE.

Calculated values
Electronic total energy = -9.212 eV/atom
DFT formation energy = -0.207 eV/atom

```
TiV5Ru2
1.0
4.212 0.000 0.000
0.000 5.178 0.000
0.000 0.000 10.219
Ru V Ti
4 10 2
Cartesian
2.106 4.317 3.857
2.106 0.861 6.363
2.106 1.728 1.253
2.106 3.451 8.966
0.000 0.000 0.000
2.106 0.822 8.973
0.000 4.315 7.740
2.106 3.412 6.356
0.000 2.589 5.110
0.000 3.453 2.630
2.106 1.767 3.863
0.000 1.726 7.589
0.000 0.863 2.479
2.106 4.356 1.246
0.000 0.000 5.110
0.000 2.589 0.000
```

***

- Among the records above, which one has the highest electronic total energy?
  NaTl2Bi2

***

- What is the electronic total energy in the fourth record?
  -2.791 eV/atom

***

- electronic total energy of number 2 (Zr4ZnGe)?
  -7.117 eV/atom